Computed, not measured: crystalline Sr2HS at its relaxed geometry at the PBE level of DFT.

## Properties
Its space-group type is R3m. For the density of states at the Fermi level, the calculation gives 0.2 states/eV per cell. As for the crystal system: trigonal. Its polymorph energy (0 for the lowest one) is 41 meV per atom.

Cell and atoms, written as extended XYZ:
```
4
Lattice="4.125 0.000 0.000 2.063 3.573 0.000 2.063 1.191 7.022" Properties=species:S:1:pos:R:3 pbc="T T T"
Sr 2.063 1.191 5.445
Sr 2.063 1.191 1.742
H 6.188 3.573 6.723
S 4.125 2.382 3.643
```


Computed, not measured: crystalline SmTmCd2 at its relaxed geometry at the PBE level of DFT.

## Properties
Its space-group type is P4/mmm. For the energy, the calculation gives -3.07 eV/atom. For the density of states at the Fermi level, the calculation gives 3.9 states/eV per cell. As for the crystal system: tetragonal.

Cell and atoms, written as extended XYZ:
```
4
Lattice="3.711 0.000 0.000 0.000 3.711 0.000 0.000 0.000 7.698" Properties=species:S:1:pos:R:3 pbc="T T T"
Tm 1.855 1.855 0.000
Sm 1.855 1.855 3.849
Cd 0.000 0.000 5.894
Cd 0.000 0.000 1.804
```


Computed, not measured: crystalline Ac6NiOs2Br3 at its relaxed geometry at the PBE level of DFT.

## Properties
Its space-group type is C2/m. For the density of states at the Fermi level, the calculation gives 3.8 states/eV per cell. As for the crystal system: monoclinic. For the raw formation energy, the calculation gives -0.800 eV/atom.

Cell and atoms, written as extended XYZ:
```
12
Lattice="-3.565 4.847 4.452 3.456 -5.947 2.951 6.993 4.786 -1.706" Properties=species:S:1:pos:R:3 pbc="T T T"
Ac 4.360 4.842 4.549
Ac 1.280 0.132 5.040
Ac 2.524 -1.157 1.148
Ac 6.740 1.184 4.040
Ac 5.603 3.553 0.657
Ac 0.144 2.502 1.656
Ni 0.000 0.000 0.000
Os 1.114 -2.347 3.451
Os -1.224 1.247 3.951
Br 5.764 -1.728 2.352
Br 1.119 5.413 3.345
Br 3.442 1.843 2.848
```